[1]
The following is a DFT calculation (PBE-GGA) of a relaxed structure of LiMg3.

Cell lengths 6.3910, 10.9888, 4.9965 Å; angles 90.00, 90.00, 90.00 degrees
Closest atoms and distances in Å follow each position.
Space group Cmcm (No. 63)
Asymmetric unit:
1 Li 0.0000 0.0844 0.2500 x4  10 Mg 3.07-3.22, 2 Li 3.11
2 Mg 0.0000 0.4149 0.7500 x4  10 Mg 3.11-3.18, 2 Li 3.20
3 Mg 0.2442 0.1633 0.7500 x8  4 Li 3.07-3.22, 8 Mg 3.11-3.27

* E_tot: -27.3 eV/cell
* volume: 21.93 Å³ per atom
* theoretical density: 1.51 g cm⁻³
* energy of formation: -33 meV/atom

***

[2]
The following is a DFT calculation (PBE-GGA) of a relaxed structure of SrY2Pt2.

Cell lengths 8.1175, 8.1175, 3.8480 Å; angles 90.00, 90.00, 90.00 degrees
Closest atoms and distances in Å follow each position.
Space group P4/mbm (No. 127)
Asymmetric unit:
1 Sr 0.0000 0.0000 0.0000 x2  4 Pt 3.15
2 Y 0.1500 0.3500 0.5000 x4  6 Pt 3.02-3.11
3 Pt 0.1368 0.6368 0.0000 x4  6 Y 3.02-3.11, 1 Pt 3.14, 2 Sr 3.15

* E_tot: -62.4 eV/cell
* volume: 25.36 Å³ per atom
* theoretical density: 8.59 g cm⁻³
* excess energy over the best structure of this formula in the dataset: 15 kJ/mol of formula units
* energy of formation: -900 meV/atom

***

[3]
The following is a DFT calculation (PBE-GGA) of a relaxed structure of CsKCd2Ni.

Cell lengths 5.3169, 5.3169, 5.8900 Å; angles 90.00, 90.00, 90.00 degrees
Closest atoms and distances in Å follow each position.
Space group P4/mmm (No. 123)
Asymmetric unit:
1 Cs 0.0000 0.0000 0.0000 x1  4 K 3.76, 8 Cd 3.97
2 K 0.5000 0.5000 0.0000 x1  2 Ni 2.94
3 Cd 0.0000 0.5000 0.5000 x2  2 Ni 2.66
4 Ni 0.5000 0.5000 0.5000 x1  4 Cd 2.66, 2 K 2.94

* E_tot: -8.8 eV/cell
* volume: 33.30 Å³ per atom
* theoretical density: 4.54 g cm⁻³
* energy of formation: 143 meV/atom